(1)
# CeNpAu

A geometry-optimized CeNpAu structure (PBE, the Alexandria database).

Cell: 5.5653 5.5653 10.7009 Å, 105.10 105.10 89.91°
With the nearest neighbours (Å) after each atom.
Sites, in units of the cell vectors:
Au (0.6220, 0.6220, 0.2441)  2 Au 2.79, 4 Np 3.11
Au (0.3780, 0.3780, 0.7559)  2 Au 2.79, 4 Np 3.11
Au (0.6280, 0.1280, 0.2559)  2 Au 2.79, 4 Np 3.11
Au (0.8720, 0.3720, 0.7441)  2 Au 2.79, 4 Np 3.11
Ce (0.0008, 0.5008, 0.5000)  2 Np 2.85, 2 Au 3.13
Ce (0.7508, 0.7508, 0.0000)  2 Np 2.85, 2 Au 3.13
Ce (0.4992, 0.9992, 0.5000)  2 Np 2.85, 2 Au 3.13
Ce (0.2492, 0.2492, 0.0000)  2 Np 2.85, 2 Au 3.13
Np (0.1250, 0.3750, 0.2500)  2 Np 2.78, 2 Ce 2.85, 4 Au 3.11
Np (0.1250, 0.8750, 0.7500)  2 Np 2.78, 2 Ce 2.85, 4 Au 3.11
Np (0.1250, 0.8750, 0.2500)  2 Np 2.78, 2 Ce 2.85, 4 Au 3.11
Np (0.6250, 0.8750, 0.7500)  2 Np 2.78, 2 Ce 2.85, 4 Au 3.11

Output
D(E_F)	7.58	states/eV/f.u.
ΔH_f (0 K)	0.088	eV per atom
final energy	-7.296	eV per atom
crystal system	orthorhombic



(2)
# CeNpAu4

A geometry-optimized CeNpAu4 structure (PBE, the Alexandria database).

Cell: 5.7070 5.7070 5.7070 Å, 60.00 60.00 60.00°
With the nearest neighbours (Å) after each atom.
Sites, in units of the cell vectors:
Np (0.2500, 0.2500, 0.2500)  12 Au 3.35, 4 Ce 3.49
Au (0.6249, 0.6249, 0.1254)  6 Au 2.85-2.86
Au (0.6249, 0.1254, 0.6249)  6 Au 2.85-2.86
Au (0.6249, 0.6249, 0.6249)  6 Au 2.85-2.86
Au (0.1254, 0.6249, 0.6249)  6 Au 2.85-2.86
Ce (0.0000, 0.0000, 0.0000)  12 Au 3.35, 4 Np 3.49

Output
D(E_F)	20.88	states/eV/f.u.
ΔH_f (0 K)	-0.211	eV per atom
final energy	-5.542	eV per atom
excess energy over the best structure of this formula in the dataset	0.253	eV per atom
crystal system	cubic



(3)
# CeNpAu2

A geometry-optimized CeNpAu2 structure (PBE, the Alexandria database).

Cell: 3.2698 3.2698 8.6756 Å, 90.00 90.00 90.00°
With the nearest neighbours (Å) after each atom.
Sites, in units of the cell vectors:
Np (0.5000, 0.5000, 0.5000)  8 Au 3.16, 4 Np 3.27
Au (0.0000, 0.0000, 0.7480)  4 Np 3.16, 4 Ce 3.18, 4 Au 3.27
Au (0.0000, 0.0000, 0.2520)  4 Np 3.16, 4 Ce 3.18, 4 Au 3.27
Ce (0.5000, 0.5000, 0.0000)  8 Au 3.18, 4 Ce 3.27

Output
D(E_F)	10.97	states/eV/f.u.
ΔH_f (0 K)	-0.286	eV per atom
final energy	-6.643	eV per atom
excess energy over the best structure of this formula in the dataset	0.000	eV per atom
crystal system	tetragonal